Entry 1:
# SiBiSe2S, single point on PBEsol structure, DFT SCAN
# Uncorrected formation energy in eV/atom: 1.26
# Volume in Å³/atom: 31.591
# Electronic total energy in eV/atom: -26.42
# ρ in kg/m3: 4489
data_SiBiSe2S
_symmetry_space_group_name_H-M 'P 4/m m m'
_symmetry_Int_Tables_number 123
_symmetry_space_group_name_Hall '-P 4 2'
_cell_length_a 5.350
_cell_length_b 5.350
_cell_length_c 5.519
_cell_angle_alpha 90.00
_cell_angle_beta 90.00
_cell_angle_gamma 90.00
loop_
_atom_site_label
_atom_site_type_symbol
_atom_site_fract_x
_atom_site_fract_y
_atom_site_fract_z
Si1 Si 0.000 0.000 0.000
Bi1 Bi 0.000 0.000 0.500
Se1 Se 0.000 0.500 0.500
S1 S 0.500 0.500 0.000

Entry 2:
# TaReAu2, single point on PBEsol structure, DFT SCAN
# Volume in Å³/atom: 16.431
# Electronic total energy in eV/atom: -68.65
# Energy of formation in eV/atom: 0.3496
# ρ in kg/m3: 19229
data_TaReAu2
_symmetry_space_group_name_H-M 'P 4/m m m'
_symmetry_Int_Tables_number 123
_symmetry_space_group_name_Hall '-P 4 2'
_cell_length_a 3.461
_cell_length_b 3.461
_cell_length_c 5.485
_cell_angle_alpha 90.00
_cell_angle_beta 90.00
_cell_angle_gamma 90.00
loop_
_atom_site_label
_atom_site_type_symbol
_atom_site_fract_x
_atom_site_fract_y
_atom_site_fract_z
Ta1 Ta 0.000 0.000 0.000
Re1 Re 0.000 0.000 0.500
Au1 Au 0.500 0.500 0.253

Entry 3:
# Mo2AsOs, single point on PBEsol structure, DFT SCAN
# Volume in Å³/atom: 14.821
# Electronic total energy in eV/atom: -40.31
# Energy of formation in eV/atom: 0.1495
# ρ in kg/m3: 12802
data_Mo2AsOs
_symmetry_space_group_name_H-M 'P 4 m m'
_symmetry_Int_Tables_number 99
_cell_length_a 3.066
_cell_length_b 3.066
_cell_length_c 6.306
_cell_angle_alpha 90.00
_cell_angle_beta 90.00
_cell_angle_gamma 90.00
loop_
_symmetry_equiv_pos_as_xyz
'x,y,z'
'-y,x,z'
'-x,-y,z'
'y,-x,z'
'-x,y,z'
'y,x,z'
'x,-y,z'
'-y,-x,z'
loop_
_atom_site_label
_atom_site_type_symbol
_atom_site_fract_x
_atom_site_fract_y
_atom_site_fract_z
Mo1 Mo 0.000 0.000 0.000
Mo2 Mo 0.500 0.500 0.268
As1 As 0.500 0.500 0.782
Os1 Os 0.000 0.000 0.510

Entry 4:
# SbTe2Au, single point on PBEsol structure, DFT SCAN
# Uncorrected formation energy in eV/atom: 0.27
# Volume in Å³/atom: 25.295
# Electronic total energy in eV/atom: -44.96
# ρ in kg/m3: 9419
data_SbTe2Au
_symmetry_space_group_name_H-M 'P 4 m m'
_symmetry_Int_Tables_number 99
_cell_length_a 3.147
_cell_length_b 3.147
_cell_length_c 10.214
_cell_angle_alpha 90.00
_cell_angle_beta 90.00
_cell_angle_gamma 90.00
loop_
_symmetry_equiv_pos_as_xyz
'x,y,z'
'-y,x,z'
'-x,-y,z'
'y,-x,z'
'-x,y,z'
'y,x,z'
'x,-y,z'
'-y,-x,z'
loop_
_atom_site_label
_atom_site_type_symbol
_atom_site_fract_x
_atom_site_fract_y
_atom_site_fract_z
Sb1 Sb 0.000 0.000 0.000
Te1 Te 0.000 0.000 0.584
Te2 Te 0.500 0.500 0.271
Au1 Au 0.500 0.500 0.807